Record 1
Compound: Er4CuSe2S
Source: the Alexandria database
Functional: PBE
Structure: optimized geometry

Total DFT energy (no corrections), eV per atom: -5.584
Magnetic moment, μB per cell: 0.0
N(E_F), states/eV/f.u.: 4.61
V, A^3/atom: 22.5
Symmetry: P2/m
Density, kg/m³: 8493

abc: 3.892 6.989 6.995
angles: 108.55 90.00 90.00
Element x y z (fractional)
Se  0.000  0.500  0.500
Se  0.500  0.000  0.500
Er  0.500  0.754  0.766
Er  0.500  0.246  0.234
Er  0.000  0.260  0.768
Er  0.000  0.740  0.232
Cu  0.500  0.500  0.000
S  0.000  0.000  0.000



Record 2
Compound: CaAc2Hg4
Source: the Alexandria database
Functional: PBE
Structure: optimized geometry

Polymorph energy (0 for the lowest one), kJ/mol of atoms: 22.0
Magnetic moment, μB per cell: 0.0
N(E_F), states/eV/f.u.: 6.27
V, A^3/atom: 37.9
Symmetry: I4/mmm
Density, kg/m³: 8116

abc: 5.667 5.667 9.180
angles: 107.98 107.98 90.00
Element x y z (fractional)
Hg  0.185  0.185  0.370
Hg  0.500  0.000  0.000
Hg  0.815  0.815  0.630
Hg  0.000  0.500  0.000
Ac  0.385  0.385  0.769
Ac  0.615  0.615  0.231
Ca  0.000  0.000  0.000